(1)
First-principles (PBE-GGA) data for a geometry-optimized Be2ReNi2 structure, as listed in Alexandria via LeMat-Bulk.

extended XYZ file:
```
10
Lattice="-3.977 1.025 -5.072 -4.926 -2.708 3.315 -0.601 2.220 0.920" Properties=species:S:1:pos:R:3 pbc="T T T"
Be -2.449 0.994 -0.664
Re 0.000 0.000 0.000
Ni -3.131 0.296 -2.762
Ni -5.772 -1.980 1.004
Be -5.242 1.064 -2.659
Be -7.055 -0.457 -0.173
Ni -2.341 -0.875 0.581
Be -4.263 -0.528 1.822
Ni -6.562 -0.808 -2.338
Re -4.452 -0.842 -0.879
```

Properties
E above lowest polymorph ... 154 meV per atom
ΔH_f (0 K) ... -0.069 eV per atom
Mass density ... 10.13 g/cm3
M_tot ... 0.0 μB/f.u.
Energy ... -31.807 eV per formula unit

=====

(2)
First-principles (PBE-GGA) data for a geometry-optimized YVSbPd2 structure, as listed in Alexandria via LeMat-Bulk.

extended XYZ file:
```
5
Lattice="-0.346 -1.242 4.566 -1.157 -4.644 -1.351 4.601 -1.156 0.034" Properties=species:S:1:pos:R:3 pbc="T T T"
Pd -0.173 -0.621 2.283
Pd 2.301 -0.578 0.017
Sb -0.578 -2.322 -0.675
Y 1.549 -3.521 1.625
V 0.000 0.000 0.000
```

Properties
Formation energy from raw total energies ... -0.040 eV/atom
Mass density ... 7.04 g/cm3
M_tot ... 0.7 μB/f.u.
Energy ... -30.293 eV per formula unit

=====

(3)
First-principles (PBE-GGA) data for a geometry-optimized VPd3Au structure, as listed in Alexandria via LeMat-Bulk.

extended XYZ file:
```
5
Lattice="-2.624 4.098 0.768 -2.011 -2.039 4.008 3.652 1.821 2.759" Properties=species:S:1:pos:R:3 pbc="T T T"
Pd -1.312 2.049 0.384
Au 0.000 0.000 0.000
Pd -1.006 -1.020 2.004
Pd 1.826 0.911 1.380
V -0.492 1.940 3.768
```

Properties
E above lowest polymorph ... 1405 meV per atom
ΔH_f (0 K) ... 1.237 eV per atom
Mass density ... 7.88 g/cm3
M_tot ... 3.1 μB/f.u.
Energy ... -21.790 eV per formula unit

=====

(4)
First-principles (PBE-GGA) data for a geometry-optimized KSr structure, as listed in Alexandria via LeMat-Bulk.

extended XYZ file:
```
12
Lattice="-0.587 -3.397 -3.163 7.353 -0.556 -0.768 0.523 -14.585 15.567" Properties=species:S:1:pos:R:3 pbc="T T T"
K 0.192 -13.856 11.386
K 7.478 -5.414 4.426
Sr 3.683 -11.696 8.418
Sr 3.813 -2.712 2.205
Sr 4.162 -12.436 12.583
K 7.220 -9.539 5.445
K -0.156 -4.133 1.008
K 0.101 -0.008 -0.011
Sr 3.843 -7.563 7.409
Sr 3.509 -6.834 3.229
K 7.652 -10.275 9.615
Sr 3.478 -1.983 -1.975
```

Properties
ΔH_f (0 K) ... 0.104 eV per atom
Mass density ... 1.71 g/cm3
M_tot ... 0.0 μB/f.u.
Energy ... -2.572 eV per formula unit

=====

(5)
First-principles (PBE-GGA) data for a geometry-optimized NaTiHg2 structure, as listed in Alexandria via LeMat-Bulk.

extended XYZ file:
```
4
Lattice="3.116 0.000 0.000 0.000 5.154 0.000 0.000 0.000 5.154" Properties=species:S:1:pos:R:3 pbc="T T T"
Hg 0.000 0.000 2.577
Hg 0.000 2.577 0.000
Ti 1.558 2.577 2.577
Na 1.558 0.000 0.000
```

Properties
ΔH_f (0 K) ... -0.039 eV per atom
Mass density ... 9.47 g/cm3
M_tot ... 1.0 μB/f.u.
Energy ... -9.973 eV per formula unit

=====

(6)
First-principles (PBE-GGA) data for a geometry-optimized SrMgTi3 structure, as listed in Alexandria via LeMat-Bulk.

extended XYZ file:
```
5
Lattice="-2.040 3.700 -2.415 -2.193 -3.156 -2.985 -3.836 -0.163 2.990" Properties=species:S:1:pos:R:3 pbc="T T T"
Mg -4.034 0.190 -1.205
Ti -1.918 -0.082 1.495
Sr 0.000 0.000 0.000
Ti -1.096 -1.578 -1.493
Ti -1.020 1.850 -1.207
```

Properties
E above lowest polymorph ... 604 meV per atom
ΔH_f (0 K) ... 1.767 eV per atom
Mass density ... 3.68 g/cm3
M_tot ... 2.0 μB/f.u.
Energy ... -18.127 eV per formula unit

=====

(7)
First-principles (PBE-GGA) data for a geometry-optimized PmLuInAg structure, as listed in Alexandria via LeMat-Bulk.

extended XYZ file:
```
4
Lattice="-1.417 -3.318 -3.843 -2.565 -4.452 1.175 -5.085 -0.529 -1.283" Properties=species:S:1:pos:R:3 pbc="T T T"
Lu -4.534 -4.150 -1.975
Pm 0.000 0.000 0.000
Ag -2.267 -2.075 -0.988
In -6.800 -6.224 -2.963
```

Properties
ΔH_f (0 K) ... -0.376 eV per atom
Mass density ... 8.70 g/cm3
M_tot ... 0.0 μB/f.u.
Energy ... -16.366 eV per formula unit

=====

(8)
First-principles (PBE-GGA) data for a geometry-optimized LiNdCu2 structure, as listed in Alexandria via LeMat-Bulk.

extended XYZ file:
```
4
Lattice="4.784 0.000 0.000 2.392 4.143 0.000 2.392 1.381 3.906" Properties=species:S:1:pos:R:3 pbc="T T T"
Nd 0.000 0.000 0.000
Li 4.784 2.762 1.953
Cu 2.392 1.381 0.977
Cu 7.176 4.143 2.930
```

Properties
E above lowest polymorph ... 74 meV per atom
ΔH_f (0 K) ... -0.037 eV per atom
Mass density ... 5.97 g/cm3
M_tot ... 0.0 μB/f.u.
Energy ... -15.023 eV per formula unit